Compound: LaHgSbTe2
Source: the Alexandria database
Functional: PBE
Structure: relaxed

The structure in CIF format:
```
data_LaHgSbTe2
_chemical_formula_sum 'La1 Hg1 Sb1 Te2'
_space_group_name_H-M_alt 'P 4/m m m'
_space_group_IT_number 123
_space_group_name_Hall '-P 4 2'
_cell_length_a 6.150
_cell_length_b 6.150
_cell_length_c 6.349
_cell_angle_alpha 90.00
_cell_angle_beta 90.00
_cell_angle_gamma 90.00
loop_
_atom_site_label
_atom_site_fract_x
_atom_site_fract_y
_atom_site_fract_z
_atom_site_occupancy
La1 0.000 0.000 0.000 1
Hg1 0.500 0.500 0.500 1
Sb1 0.000 0.000 0.500 1
Te1 0.000 0.500 0.000 1
```

## Properties
energy relative to the elements, uncorrected: 0.0261 eV per atom
N(E_F): 1.970 states/eV/atom
magnetization: 1.0 μB/f.u.
energy above the most stable polymorph in this dataset: 107 meV/atom